9
Lattice="-4.4900 -1.8389 -0.3098 1.9930 -4.3762 -2.9091 -0.2851 -0.2485 5.6075" Properties=species:S:1:pos:R:3 comment="ErPaPbO6, optimized geometry, DFT GGA-PBE" space_group=P312 formation_energy_uncorrected_ev_per_atom=-2.622 vol_a3_per_atom=14.78 e_tot_ev_per_cell=-71.11 pbc="T T T"
Er -1.0113 -3.9198 -0.2252
O -0.1078 -3.6069 3.5465
O -2.9745 -3.0539 4.3620
O -1.3136 -0.6812 3.6563
O -0.5852 -1.9897 0.8664
O -2.2209 -4.4305 1.6119
O -3.4225 -1.5011 1.6391
Pb -2.2450 -0.9194 -0.1549
Pa 0.4742 -1.6244 2.7686